1.
# PBE CsSrH8Pd2, relaxed
data_CsSrH8Pd2
_cell_length_a 5.4267
_cell_length_b 5.4267
_cell_length_c 21.1773
_cell_angle_alpha 90.00
_cell_angle_beta 90.00
_cell_angle_gamma 120.00
_space_group_name_H-M_alt 'R -3'
_space_group_IT_number 148
_space_group_name_Hall '-R 3'
loop_
_atom_site_label
_atom_site_type_symbol
_atom_site_fract_x
_atom_site_fract_y
_atom_site_fract_z
_atom_site_occupancy
Cs1 Cs 0.0000 0.0000 0.0000 1
Sr1 Sr 0.0000 0.0000 0.5000 1
H1 H 0.0000 0.0000 0.2651 1
H2 H 0.0601 0.4715 0.5396 1
Pd1 Pd 0.0000 0.0000 0.1827 1
# - energy (eV for the cell shown) = -122.50

=====

2.
# PBE Cs2SrH6Pd, relaxed
data_Cs2SrH6Pd
_cell_length_a 6.4513
_cell_length_b 6.4513
_cell_length_c 6.2574
_cell_angle_alpha 90.00
_cell_angle_beta 90.00
_cell_angle_gamma 120.00
_space_group_name_H-M_alt 'P -3 m 1'
_space_group_IT_number 164
_space_group_name_Hall '-P 3 2"'
loop_
_atom_site_label
_atom_site_type_symbol
_atom_site_fract_x
_atom_site_fract_y
_atom_site_fract_z
_atom_site_occupancy
Cs1 Cs 0.3333 0.6667 0.1493 1
Sr1 Sr 0.0000 0.0000 0.5000 1
H1 H 0.1242 0.2485 0.8355 1
Pd1 Pd 0.0000 0.0000 0.0000 1
# - energy (eV for the cell shown) = -30.49

=====

Number 1: Fermi-level density of states 0.181 states/eV per atom, magnetization 0.00 μB per atom. Number 2: Fermi-level density of states 0.524 states/eV per atom, magnetization 0.00 μB per atom.